Entry from Alexandria: a geometry-optimized TbPrBr2 structure (PBE-GGA).

```
TbPrBr2
1.0
1.840 1.063 10.293
-1.840 1.063 10.293
0.000 -2.125 10.293
Tb Pr Br
1 1 2
Direct
0.000 0.000 0.000
0.500 0.500 0.500
0.401 0.401 0.401
0.599 0.599 0.599
```

## Properties
Total energy (eV per cell): -16.86
Size of the total moment (Bohr magnetons per cell): 0.40
E_form (uncorrected) (meV per atom): -1026.1
Crystal system: trigonal